This record from the Alexandria database describes a relaxed BaTl2Cr crystal. The functional is PBE.

Cell: 4.9017 4.9017 5.1373 Å, 90.00 90.00 90.00°
Atoms (fractional coordinates):
1 Ba 0.0000 0.0000 0.0000
2 Tl 0.0000 0.5000 0.5000
3 Tl 0.5000 0.0000 0.5000
4 Cr 0.5000 0.5000 0.0000

Values from the calculation:
Crystal system: tetragonal
Space group: No. 123
ΔE_f (meV per atom): 296

This record from the Alexandria database describes a relaxed Ba3TlCr crystal. The functional is PBE.

Cell: 6.6703 6.6703 6.6703 Å, 90.00 90.00 90.00°
Atoms (fractional coordinates):
1 Ba 0.0000 0.0000 0.5000
2 Ba 0.0000 0.5000 0.0000
3 Ba 0.5000 0.0000 0.0000
4 Tl 0.0000 0.0000 0.0000
5 Cr 0.5000 0.5000 0.5000

Values from the calculation:
Crystal system: cubic
Space group: No. 221
Energy above the most stable polymorph in this dataset (eV/atom): 0.000
ΔE_f (meV per atom): 516

This record from the Alexandria database describes a relaxed BaTlCr crystal. The functional is PBE.

Cell: 5.2377 5.2377 5.2377 Å, 60.00 60.00 60.00°
Atoms (fractional coordinates):
1 Ba 0.0000 0.0000 0.0000
2 Tl 0.5000 0.5000 0.5000
3 Cr 0.7500 0.7500 0.7500

Values from the calculation:
Crystal system: cubic
Space group: No. 216
Energy above the most stable polymorph in this dataset (eV/atom): 0.178
ΔE_f (meV per atom): 462

This record from the Alexandria database describes a relaxed Ba2TlCr crystal. The functional is PBE.

Cell: 5.8172 5.8172 5.8172 Å, 60.00 60.00 60.00°
Atoms (fractional coordinates):
1 Ba 0.2500 0.2500 0.2500
2 Ba 0.7500 0.7500 0.7500
3 Tl 0.0000 0.0000 0.0000
4 Cr 0.5000 0.5000 0.5000

Values from the calculation:
Crystal system: cubic
Space group: No. 225
Energy above the most stable polymorph in this dataset (eV/atom): 0.652
ΔE_f (meV per atom): 833

This record from the Alexandria database describes a relaxed Ba2TlCr crystal. The functional is PBE.

Cell: 10.6096 10.6096 10.6096 Å, 23.66 23.66 23.66°
Atoms (fractional coordinates):
1 Ba 0.2479 0.2479 0.2479
2 Ba 0.7521 0.7521 0.7521
3 Tl 0.0000 0.0000 0.0000
4 Cr 0.5000 0.5000 0.5000

Values from the calculation:
Crystal system: trigonal
Space group: No. 166
Energy above the most stable polymorph in this dataset (eV/atom): 0.226
ΔE_f (meV per atom): 408

This record from the Alexandria database describes a relaxed Ba2TlCr crystal. The functional is PBE.

Cell: 5.2454 5.0078 6.7088 Å, 90.00 112.96 90.00°
Atoms (fractional coordinates):
1 Ba 0.0000 0.0000 0.0000
2 Ba 0.2900 0.5000 0.5800
3 Tl 0.5879 0.5000 0.1746
4 Cr 0.6976 0.0000 0.3968

Values from the calculation:
Crystal system: monoclinic
Space group: No. 6
Energy above the most stable polymorph in this dataset (eV/atom): 0.000
ΔE_f (meV per atom): 181

This record from the Alexandria database describes a relaxed BaTlCr crystal. The functional is PBE.

Cell: 5.5449 5.5449 5.5449 Å, 60.00 60.00 60.00°
Atoms (fractional coordinates):
1 Ba 0.0000 0.0000 0.0000
2 Tl 0.2500 0.2500 0.2500
3 Cr 0.7500 0.7500 0.7500

Values from the calculation:
Crystal system: cubic
Space group: No. 216
Energy above the most stable polymorph in this dataset (eV/atom): 0.573
ΔE_f (meV per atom): 857

This record from the Alexandria database describes a relaxed BaV2Cr crystal. The functional is PBE.

Cell: 4.8845 4.8845 4.8845 Å, 60.00 60.00 60.00°
Atoms (fractional coordinates):
1 Ba 0.0000 0.0000 0.0000
2 V 0.2500 0.2500 0.2500
3 V 0.7500 0.7500 0.7500
4 Cr 0.5000 0.5000 0.5000

Values from the calculation:
Crystal system: cubic
Space group: No. 225
ΔE_f (meV per atom): 1157

This record from the Alexandria database describes a relaxed BaV3Cr crystal. The functional is PBE.

Cell: 4.7542 4.7542 4.7542 Å, 90.00 90.00 90.00°
Atoms (fractional coordinates):
1 Ba 0.0000 0.0000 0.0000
2 V 0.0000 0.5000 0.5000
3 V 0.5000 0.0000 0.5000
4 V 0.5000 0.5000 0.0000
5 Cr 0.5000 0.5000 0.5000

Values from the calculation:
Crystal system: cubic
Space group: No. 221
Energy above the most stable polymorph in this dataset (eV/atom): 0.000
ΔE_f (meV per atom): 978

This record from the Alexandria database describes a relaxed BaV3Cr crystal. The functional is PBE.

Cell: 4.7762 4.7762 4.7762 Å, 90.00 90.00 90.00°
Atoms (fractional coordinates):
1 Ba 0.0000 0.0000 0.0000
2 V 0.0000 0.0000 0.5000
3 V 0.0000 0.5000 0.0000
4 V 0.5000 0.0000 0.0000
5 Cr 0.5000 0.5000 0.5000

Values from the calculation:
Crystal system: cubic
Space group: No. 221
Energy above the most stable polymorph in this dataset (eV/atom): 1.568
ΔE_f (meV per atom): 2545

This record from the Alexandria database describes a relaxed Ba2CrW crystal. The functional is PBE.

Cell: 5.4575 5.4575 4.4272 Å, 90.00 90.00 90.00°
Atoms (fractional coordinates):
1 Ba 0.0000 0.5000 0.0000
2 Ba 0.5000 0.0000 0.0000
3 Cr 0.0000 0.0000 0.5000
4 W 0.5000 0.5000 0.5000

Values from the calculation:
Crystal system: tetragonal
Space group: No. 123
Energy above the most stable polymorph in this dataset (eV/atom): 0.682
ΔE_f (meV per atom): 1444

This record from the Alexandria database describes a relaxed BaCr2W crystal. The functional is PBE.

Cell: 2.9292 2.9292 9.4353 Å, 90.00 90.00 111.80°
Atoms (fractional coordinates):
1 Ba 0.0000 0.0000 0.0000
2 Cr 0.5000 0.5000 0.3030
3 Cr 0.5000 0.5000 0.6970
4 W 0.0000 0.0000 0.5000

Values from the calculation:
Crystal system: orthorhombic
Space group: No. 65
Energy above the most stable polymorph in this dataset (eV/atom): 0.328
ΔE_f (meV per atom): 1128